# TeOs2W, optimized geometry, DFT PBE
# calculated volume	136	Å³ per cell
# formation energy without anion corrections	0.625	eV/atom
data_TeOs2W
_space_group_name_H-M_alt 'C 1 m 1'
_space_group_IT_number 8
_space_group_name_Hall 'C -2y'
_cell_length_a 9.651
_cell_length_b 3.014
_cell_length_c 4.683
_cell_angle_alpha 90.00
_cell_angle_beta 95.50
_cell_angle_gamma 90.00
loop_
_atom_site_label
_atom_site_fract_x
_atom_site_fract_y
_atom_site_fract_z
Te1 0.000 0.000 0.000
Os1 0.010 0.500 0.483
Os2 0.280 0.500 0.287
W1 0.231 0.000 0.720


# ReSb2N2, optimized geometry, DFT PBE
# calculated volume	172	Å³ per cell
# offset from the most stable computed form	98	meV/atom
# formation energy without anion corrections	1.520	eV/atom
data_ReSb2N2
_space_group_name_H-M_alt 'P 4/m b m'
_space_group_IT_number 127
_space_group_name_Hall '-P 4 2ab'
_cell_length_a 7.306
_cell_length_b 7.306
_cell_length_c 3.225
_cell_angle_alpha 90.00
_cell_angle_beta 90.00
_cell_angle_gamma 90.00
loop_
_atom_site_label
_atom_site_fract_x
_atom_site_fract_y
_atom_site_fract_z
Re1 0.000 0.000 0.000
Sb1 0.165 0.335 0.000
N1 0.204 0.704 0.500


# AlTc4Ru, optimized geometry, DFT PBE
# E_form	0.2684	eV/atom
# calculated volume	369	Å³ per cell
data_AlTc4Ru
_space_group_name_H-M_alt 'F -4 3 m'
_space_group_IT_number 216
_space_group_name_Hall 'F -4 2 3'
_cell_length_a 7.174
_cell_length_b 7.174
_cell_length_c 7.174
_cell_angle_alpha 90.00
_cell_angle_beta 90.00
_cell_angle_gamma 90.00
loop_
_atom_site_label
_atom_site_fract_x
_atom_site_fract_y
_atom_site_fract_z
Al1 0.000 0.000 0.000
Tc1 0.126 0.126 0.374
Ru1 0.250 0.250 0.750


# Pu2GaPb, optimized geometry, DFT PBE
# E_form	-0.1956	eV/atom
# calculated volume	100	Å³ per cell
# offset from the most stable computed form	0	meV/atom
data_Pu2GaPb
_space_group_name_H-M_alt 'P 4/m m m'
_space_group_IT_number 123
_space_group_name_Hall '-P 4 2'
_cell_length_a 4.640
_cell_length_b 4.640
_cell_length_c 4.627
_cell_angle_alpha 90.00
_cell_angle_beta 90.00
_cell_angle_gamma 90.00
loop_
_atom_site_label
_atom_site_fract_x
_atom_site_fract_y
_atom_site_fract_z
Pu1 0.000 0.500 0.000
Ga1 0.000 0.000 0.500
Pb1 0.500 0.500 0.500


# Ni6HgS8, optimized geometry, DFT PBE
# calculated volume	761	Å³ per cell
# formation energy without anion corrections	-0.258	eV/atom
data_Ni6HgS8
_space_group_name_H-M_alt 'R -3'
_space_group_IT_number 148
_space_group_name_Hall '-R 3'
_cell_length_a 9.1553
_cell_length_b 9.1553
_cell_length_c 10.4785
_cell_angle_alpha 90.00
_cell_angle_beta 90.00
_cell_angle_gamma 120.00
loop_
_atom_site_label
_atom_site_fract_x
_atom_site_fract_y
_atom_site_fract_z
Ni1 0.0219 0.8243 0.3839
Hg1 0.0000 0.0000 0.0000
S1 0.0000 0.0000 0.2490
S2 0.0369 0.7427 0.5842


# ReRuBr2, optimized geometry, DFT PBE
# calculated volume	190	Å³ per cell
# offset from the most stable computed form	490	meV/atom
# formation energy without anion corrections	0.760	eV/atom
data_ReRuBr2
_space_group_name_H-M_alt 'I m m m'
_space_group_IT_number 71
_space_group_name_Hall '-I 2 2'
_cell_length_a 3.116
_cell_length_b 4.233
_cell_length_c 14.417
_cell_angle_alpha 90.00
_cell_angle_beta 90.00
_cell_angle_gamma 90.00
loop_
_atom_site_label
_atom_site_fract_x
_atom_site_fract_y
_atom_site_fract_z
Re1 0.000 0.000 0.000
Ru1 0.000 0.000 0.500
Br1 0.000 0.500 0.355


# Tb2Pr2Ho5, optimized geometry, DFT PBE
# E_form	0.2109	eV/atom
# calculated volume	1191	Å³ per cell
# offset from the most stable computed form	0	meV/atom
data_Tb2Pr2Ho5
_space_group_name_H-M_alt 'I m a 2'
_space_group_IT_number 46
_space_group_name_Hall 'I 2 -2a'
_cell_length_a 14.939
_cell_length_b 11.861
_cell_length_c 6.723
_cell_angle_alpha 90.00
_cell_angle_beta 90.00
_cell_angle_gamma 90.00
loop_
_atom_site_label
_atom_site_fract_x
_atom_site_fract_y
_atom_site_fract_z
Tb1 0.127 0.004 0.000
Pr1 0.000 0.000 0.454
Pr2 0.250 0.509 0.048
Ho1 0.053 0.244 0.648
Ho2 0.142 0.735 0.840
Ho3 0.250 0.246 0.845


For reference, raw total energy by record: -72.11, -59.49, -211.49, -36.18, -215.64, -44.06, -159.24 eV per cell.